# NdEuGd

A relaxed NdEuGd crystal (PBE, Alexandria).

Computed properties:
Total energy   -9.589 eV per atom
M_tot   0.018 μB per formula unit
Space group   No. 156
Energy of formation   0.118 eV per atom
Offset from the most stable computed form   79.7 meV/atom

```
NdEuGd
1.0
5.872 0.000 0.000
-2.936 5.085 0.000
0.000 0.000 3.546
Nd Eu Gd
1 1 1
Direct
0.000 0.000 0.000 Nd
0.667 0.333 0.998 Eu
0.333 0.667 0.500 Gd
```